[1]
Material: Ti3GaPb
Method: DFT, meta-GGA SCAN
State: single point on PBEsol structure

The structure in POSCAR format:
```
Ti3GaPb
1.0
5.023 0.000 0.000
0.000 5.023 0.000
0.000 0.000 5.023
Pb Ga Ti
1 1 3
direct
0.000 0.000 0.000 Pb
0.500 0.500 0.500 Ga
0.000 0.500 0.000 Ti
0.000 0.000 0.500 Ti
0.500 0.000 0.000 Ti
```

Computed properties:
Density (g/cm3): 5.51
Energy of formation from the pure elements (meV/atom): 1060.2
D(E_F) (states/eV/f.u.): 5.41
Magnetic moment (μB per formula unit): 2.92

***

[2]
Material: HgC2
Method: DFT, meta-GGA SCAN
State: single point on PBEsol structure

The structure in POSCAR format:
```
HgC2
1.0
-1.614 -1.975 -0.394
2.085 -0.616 -5.451
3.629 -2.110 4.165
C Hg
4 2
direct
0.071 0.356 0.143 C
0.538 0.424 0.075 C
0.462 0.576 0.925 C
0.929 0.644 0.857 C
0.817 0.868 0.634 Hg
0.183 0.132 0.366 Hg
```

Computed properties:
Density (g/cm3): 9.35
Energy of formation from the pure elements (meV/atom): 663.4
D(E_F) (states/eV/f.u.): 0.40
Polymorph energy (0 for the lowest one) (meV per atom): 0
Magnetic moment (μB per formula unit): 0.00

***

[3]
Material: Tl2CoSi
Method: DFT, meta-GGA SCAN
State: single point on PBEsol structure

The structure in POSCAR format:
```
Tl2CoSi
1.0
2.956 0.000 0.000
0.000 4.364 0.000
-1.478 -2.182 6.135
Co Si Tl
1 1 2
direct
0.529 0.529 0.058 Co
0.169 0.669 0.338 Si
0.000 0.000 0.999 Tl
0.803 0.303 0.605 Tl
```

Computed properties:
Density (g/cm3): 10.40
D(E_F) (states/eV/f.u.): 2.22
Polymorph energy (0 for the lowest one) (meV per atom): 230
Magnetic moment (μB per formula unit): 0.75
Formation energy from raw total energies (eV/f.u.): 1.82

***

[4]
Material: Ga2MoH
Method: DFT, meta-GGA SCAN
State: single point on PBEsol structure

The structure in POSCAR format:
```
Ga2MoH
1.0
4.265 0.000 0.000
2.132 3.693 0.000
2.132 1.231 3.482
H Mo Ga
1 1 2
direct
0.000 0.000 0.000 H
0.500 0.500 0.500 Mo
0.250 0.250 0.250 Ga
0.750 0.750 0.750 Ga
```

Computed properties:
Density (g/cm3): 7.16
D(E_F) (states/eV/f.u.): 2.52
Final energy (eV/atom): -16.864
Magnetic moment (μB per formula unit): 2.37